(1)
{
  "formula": "Sr2MoAs",
  "functional": "PBE",
  "state": "optimized geometry",
  "lattice_angstrom": [[-7.9396, 4.5108, 2.4028], [-8.7895, 3.1987, -1.2923], [-9.2276, 0.7505, 1.8561]],
  "species": ["As", "Sr", "Sr", "Mo"],
  "frac_coords": [[0.4790, 0.4790, 0.4790], [0.0254, 0.0254, 0.0254], [0.2186, 0.2186, 0.2186], [0.7769, 0.7769, 0.7769]],
  "crystal_system": "trigonal"
}



(2)
{
  "formula": "Zr2Tl",
  "functional": "PBE",
  "state": "optimized geometry",
  "lattice_angstrom": [[8.0506, 0.0000, 0.0000], [-4.0253, 6.9720, 0.0000], [0.0000, 0.0000, 3.7869]],
  "species": ["Zr", "Tl", "Zr", "Zr", "Tl", "Zr", "Zr", "Zr", "Tl"],
  "frac_coords": [[0.6056, 0.0000, 0.5000], [0.0000, 0.0000, 0.5000], [0.3944, 0.3944, 0.5000], [0.0000, 0.2737, 0.0000], [0.6667, 0.3333, 0.0000], [0.0000, 0.6056, 0.5000], [0.7263, 0.7263, 0.0000], [0.2737, 0.0000, 0.0000], [0.3333, 0.6667, 0.0000]],
  "crystal_system": "hexagonal"
}



Energy relative to the elements per entry: 0.061 -0.026 eV per atom